{"formula": "KTl2GaCl4", "functional": "PBE-GGA", "state": "relaxed", "cell": [[4.500, 0.000, 0.000], [0.000, 7.825, -0.172], [0.000, 2.737, 7.276]], "species": ["Cl", "Cl", "Cl", "Cl", "Ga", "K", "Tl", "Tl"], "frac_coords": [[0.500, 0.263, 0.750], [0.000, 0.266, 0.241], [0.500, 0.737, 0.250], [0.000, 0.734, 0.759], [0.500, 0.500, 0.000], [0.000, 0.500, 0.500], [0.500, 0.000, 0.500], [0.000, 0.000, 0.000]], "formation_energy_uncorrected_ev_per_atom": -1.164, "mass_density_g_cm3": 4.24, "total_energy_ev_per_atom": -3.194}